A relaxed structure of La3PrYTm, computed with PBE.

Values from the calculation:
Fermi-level density of states ... 1.84 states/eV per atom
Magnetization ... 0.0 Bohr magnetons per cell
Total energy ... -5.052 eV per atom

Cell lengths 5.233, 8.119, 10.974 Å; angles 115.65, 90.00, 90.00 degrees
Atoms (fractional coordinates):
La (0.250, 0.125, 0.956)
La (0.750, 0.875, 0.044)
La (0.750, 0.369, 0.541)
La (0.750, 0.380, 0.209)
La (0.250, 0.620, 0.791)
La (0.250, 0.631, 0.459)
Y (0.250, 0.629, 0.127)
Y (0.750, 0.371, 0.873)
Pr (0.250, 0.123, 0.294)
Pr (0.750, 0.877, 0.706)
Tm (0.750, 0.878, 0.377)
Tm (0.250, 0.122, 0.623)

A relaxed structure of La3Pr2Y6Tm, computed with PBE.

Values from the calculation:
Fermi-level density of states ... 1.27 states/eV per atom
Magnetization ... 0.0 Bohr magnetons per cell
Total energy ... -5.621 eV per atom

Cell lengths 6.299, 6.299, 11.945 Å; angles 95.04, 95.04, 120.01 degrees
Atoms (fractional coordinates):
Y (0.918, 0.585, 0.753)
Y (0.082, 0.415, 0.247)
Y (0.415, 0.082, 0.247)
Y (0.750, 0.750, 0.248)
Y (0.585, 0.918, 0.753)
Y (0.250, 0.250, 0.752)
Pr (0.334, 0.666, 0.000)
Pr (0.666, 0.334, 0.000)
La (0.167, 0.833, 0.500)
La (0.500, 0.500, 0.500)
La (0.833, 0.167, 0.500)
Tm (0.000, 0.000, 0.000)

A relaxed structure of LaPrY2Tm2, computed with PBE.

Values from the calculation:
Fermi-level density of states ... 1.62 states/eV per atom
Magnetization ... 0.0 Bohr magnetons per cell
Total energy ... -5.191 eV per atom

Cell lengths 5.719, 9.916, 6.985 Å; angles 90.00, 90.00, 90.00 degrees
Atoms (fractional coordinates):
La (0.000, 0.000, 0.000)
La (0.500, 0.500, 0.500)
Tm (0.500, 0.167, 0.250)
Tm (0.000, 0.667, 0.250)
Tm (0.500, 0.833, 0.750)
Tm (0.000, 0.333, 0.750)
Pr (0.500, 0.500, 0.000)
Pr (0.000, 0.000, 0.500)
Y (0.500, 0.833, 0.251)
Y (0.000, 0.333, 0.249)
Y (0.500, 0.167, 0.749)
Y (0.000, 0.667, 0.751)

A relaxed structure of La2PrY6Tm, computed with PBE.

Values from the calculation:
Fermi-level density of states ... 1.48 states/eV per atom
Magnetization ... 0.0 Bohr magnetons per cell
Total energy ... -5.677 eV per atom

Cell lengths 9.954, 8.797, 8.797 Å; angles 117.37, 95.49, 95.49 degrees
Atoms (fractional coordinates):
La (0.455, 0.806, 0.713)
La (0.045, 0.287, 0.194)
La (0.955, 0.713, 0.806)
La (0.545, 0.194, 0.287)
Pr (0.250, 0.987, 0.013)
Pr (0.750, 0.013, 0.987)
Y (0.116, 0.697, 0.487)
Y (0.057, 0.117, 0.734)
Y (0.688, 0.018, 0.575)
Y (0.443, 0.266, 0.883)
Y (0.312, 0.982, 0.425)
Y (0.616, 0.487, 0.697)
Y (0.188, 0.575, 0.018)
Y (0.557, 0.734, 0.117)
Y (0.812, 0.425, 0.982)
Y (0.884, 0.303, 0.513)
Y (0.943, 0.883, 0.266)
Y (0.384, 0.513, 0.303)
Tm (0.250, 0.405, 0.595)
Tm (0.750, 0.595, 0.405)

A relaxed structure of LaPr6Y3Tm2, computed with PBE.

Values from the calculation:
Fermi-level density of states ... 1.24 states/eV per atom
Magnetization ... 0.0 Bohr magnetons per cell
Total energy ... -5.146 eV per atom

Cell lengths 6.330, 6.330, 11.979 Å; angles 95.05, 95.05, 120.01 degrees
Atoms (fractional coordinates):
Pr (0.750, 0.750, 0.251)
Pr (0.250, 0.250, 0.749)
Pr (0.581, 0.916, 0.750)
Pr (0.419, 0.084, 0.250)
Pr (0.084, 0.419, 0.250)
Pr (0.916, 0.581, 0.750)
Tm (0.334, 0.666, 0.000)
Tm (0.666, 0.334, 0.000)
Y (0.833, 0.167, 0.500)
Y (0.167, 0.833, 0.500)
Y (0.500, 0.500, 0.500)
La (0.000, 0.000, 0.000)

A relaxed structure of La3Pr6YTm2, computed with PBE.

Values from the calculation:
Fermi-level density of states ... 1.49 states/eV per atom
Magnetization ... 0.0 Bohr magnetons per cell
Total energy ... -4.886 eV per atom

Cell lengths 6.379, 6.379, 12.112 Å; angles 95.04, 95.04, 120.06 degrees
Atoms (fractional coordinates):
Tm (0.667, 0.333, 0.000)
Tm (0.333, 0.667, 0.000)
Pr (0.253, 0.253, 0.757)
Pr (0.919, 0.584, 0.757)
Pr (0.747, 0.747, 0.243)
Pr (0.081, 0.416, 0.243)
Pr (0.416, 0.081, 0.243)
Pr (0.584, 0.919, 0.757)
La (0.833, 0.167, 0.500)
La (0.500, 0.500, 0.500)
La (0.167, 0.833, 0.500)
Y (0.000, 0.000, 0.000)

A relaxed structure of LaPr2YTm, computed with PBE.

Values from the calculation:
Fermi-level density of states ... 1.38 states/eV per atom
Magnetization ... 0.0 Bohr magnetons per cell
Total energy ... -4.822 eV per atom

Cell lengths 6.442, 9.181, 6.452 Å; angles 109.33, 90.00, 90.00 degrees
Atoms (fractional coordinates):
Pr (0.686, 0.684, 0.839)
Pr (0.314, 0.684, 0.339)
Pr (0.314, 0.316, 0.161)
Pr (0.686, 0.316, 0.661)
La (0.000, 0.000, 0.500)
La (0.000, 0.000, 0.000)
Y (0.167, 0.500, 0.750)
Y (0.833, 0.500, 0.250)
Tm (0.494, 0.000, 0.750)
Tm (0.506, 0.000, 0.250)

A relaxed structure of LaPrY2Tm5, computed with PBE.

Values from the calculation:
Fermi-level density of states ... 1.23 states/eV per atom
Magnetization ... 0.0 Bohr magnetons per cell
Total energy ... -4.719 eV per atom

Cell lengths 8.773, 8.773, 9.802 Å; angles 116.58, 116.58, 90.00 degrees
Atoms (fractional coordinates):
Y (0.117, 0.383, 0.000)
Y (0.383, 0.883, 0.000)
Y (0.617, 0.117, 0.000)
Y (0.883, 0.617, 0.000)
Pr (0.250, 0.750, 0.500)
Pr (0.750, 0.250, 0.500)
Tm (0.500, 0.500, 0.000)
Tm (0.338, 0.838, 0.267)
Tm (0.571, 0.662, 0.733)
Tm (0.662, 0.162, 0.733)
Tm (0.162, 0.071, 0.733)
Tm (0.000, 0.000, 0.000)
Tm (0.929, 0.429, 0.267)
Tm (0.838, 0.929, 0.267)
Tm (0.071, 0.571, 0.733)
Tm (0.429, 0.338, 0.267)
La (0.750, 0.750, 0.500)
La (0.250, 0.250, 0.500)

A relaxed structure of LaPr3Y2Tm6, computed with PBE.

Values from the calculation:
Fermi-level density of states ... 1.24 states/eV per atom
Magnetization ... 0.0 Bohr magnetons per cell
Total energy ... -4.894 eV per atom

Cell lengths 6.214, 6.214, 11.786 Å; angles 95.03, 95.03, 119.99 degrees
Atoms (fractional coordinates):
Pr (0.833, 0.167, 0.500)
Pr (0.167, 0.833, 0.500)
Pr (0.500, 0.500, 0.500)
La (0.000, 0.000, 0.000)
Tm (0.583, 0.916, 0.751)
Tm (0.916, 0.583, 0.751)
Tm (0.750, 0.750, 0.249)
Tm (0.250, 0.250, 0.751)
Tm (0.417, 0.084, 0.249)
Tm (0.084, 0.417, 0.249)
Y (0.333, 0.667, 0.000)
Y (0.667, 0.333, 0.000)

A relaxed structure of LaPr5YTm2, computed with PBE.

Values from the calculation:
Fermi-level density of states ... 1.60 states/eV per atom
Magnetization ... 0.0 Bohr magnetons per cell
Total energy ... -4.767 eV per atom

Cell lengths 5.747, 10.627, 10.755 Å; angles 90.00, 90.00, 105.69 degrees
Atoms (fractional coordinates):
Tm (0.884, 0.769, 0.817)
Tm (0.113, 0.227, 0.735)
Tm (0.116, 0.231, 0.317)
Tm (0.887, 0.773, 0.235)
Pr (0.296, 0.593, 0.708)
Pr (0.280, 0.561, 0.314)
Pr (0.720, 0.439, 0.814)
Pr (0.520, 0.040, 0.241)
Pr (0.615, 0.231, 0.523)
Pr (0.385, 0.769, 0.023)
Pr (0.983, 0.967, 0.522)
Pr (0.480, 0.960, 0.741)
Pr (0.017, 0.033, 0.022)
Pr (0.704, 0.407, 0.208)
Y (0.802, 0.604, 0.512)
Y (0.198, 0.396, 0.012)
La (0.585, 0.170, 0.951)
La (0.415, 0.830, 0.451)

A relaxed structure of La2Pr4Y2Tm, computed with PBE.

Values from the calculation:
Fermi-level density of states ... 1.41 states/eV per atom
Magnetization ... 0.0 Bohr magnetons per cell
Total energy ... -5.144 eV per atom

Cell lengths 3.706, 9.752, 9.821 Å; angles 115.11, 90.00, 100.95 degrees
Atoms (fractional coordinates):
Pr (0.815, 0.630, 0.667)
Pr (0.482, 0.964, 0.667)
Pr (0.185, 0.370, 0.333)
Pr (0.518, 0.036, 0.333)
La (0.665, 0.329, 0.999)
La (0.335, 0.671, 0.001)
Y (0.852, 0.704, 0.333)
Y (0.148, 0.296, 0.667)
Tm (0.000, 0.000, 0.000)

A relaxed structure of LaPrTmZr, computed with PBE.

Values from the calculation:
Fermi-level density of states ... 1.76 states/eV per atom
Magnetization ... 0.0 Bohr magnetons per cell
Total energy ... -5.488 eV per atom

Cell lengths 5.564, 5.564, 5.564 Å; angles 60.00, 60.00, 60.00 degrees
Atoms (fractional coordinates):
La (0.000, 0.000, 0.000)
Pr (0.500, 0.500, 0.500)
Tm (0.750, 0.750, 0.750)
Zr (0.250, 0.250, 0.250)

A relaxed structure of La2PrV, computed with PBE.

Values from the calculation:
Fermi-level density of states ... 1.22 states/eV per atom
Magnetization ... 2.9 Bohr magnetons per cell
Total energy ... -5.324 eV per atom

Cell lengths 3.471, 3.471, 12.065 Å; angles 81.73, 81.73, 60.00 degrees
Last column: magnetic moment on the atom in μB.
Atoms (fractional coordinates):
La (0.923, 0.923, 0.231)  0.02
La (0.077, 0.077, 0.769)  0.02
Pr (0.500, 0.500, 0.500)  0.03
V (0.000, 0.000, 0.000)  2.50

A relaxed structure of La2Pr9Y, computed with PBE.

Values from the calculation:
Fermi-level density of states ... 1.79 states/eV per atom
Magnetization ... 0.0 Bohr magnetons per cell
Total energy ... -4.932 eV per atom

Cell lengths 5.243, 5.243, 15.725 Å; angles 90.00, 90.00, 90.00 degrees
Atoms (fractional coordinates):
La (0.000, 0.000, 0.332)
La (0.000, 0.000, 0.668)
Pr (0.000, 0.500, 0.164)
Pr (0.000, 0.500, 0.836)
Pr (0.500, 0.000, 0.500)
Pr (0.500, 0.500, 0.668)
Pr (0.000, 0.500, 0.500)
Pr (0.500, 0.000, 0.164)
Pr (0.500, 0.500, 0.000)
Pr (0.500, 0.500, 0.332)
Pr (0.500, 0.000, 0.836)
Y (0.000, 0.000, 0.000)

A relaxed structure of La2PrY, computed with PBE.

Values from the calculation:
Fermi-level density of states ... 1.66 states/eV per atom
Magnetization ... 0.0 Bohr magnetons per cell
Total energy ... -5.258 eV per atom
Energy above the lowest structure with this stoichiometry ... 7 meV per atom

Cell lengths 3.704, 3.704, 12.196 Å; angles 81.27, 81.27, 60.00 degrees
Atoms (fractional coordinates):
La (0.248, 0.248, 0.257)
La (0.085, 0.085, 0.746)
Pr (0.668, 0.668, 0.996)
Y (0.500, 0.500, 0.501)

A relaxed structure of LaPr5Y5, computed with PBE.

Values from the calculation:
Fermi-level density of states ... 2.23 states/eV per atom
Magnetization ... 0.0 Bohr magnetons per cell
Total energy ... -5.270 eV per atom
Energy above the lowest structure with this stoichiometry ... 0 meV per atom

Cell lengths 6.211, 6.211, 12.002 Å; angles 90.00, 90.00, 120.00 degrees
Atoms (fractional coordinates):
Y (0.000, 0.000, 0.737)
Y (0.834, 0.166, 0.500)
Y (0.834, 0.668, 0.500)
Y (0.000, 0.000, 0.263)
Y (0.332, 0.166, 0.500)
Pr (0.667, 0.333, 0.155)
Pr (0.000, 0.000, 0.000)
Pr (0.333, 0.667, 0.319)
Pr (0.333, 0.667, 0.681)
Pr (0.667, 0.333, 0.845)
La (0.333, 0.667, 0.000)

A relaxed structure of La8Pr3Y2, computed with PBE.

Values from the calculation:
Fermi-level density of states ... 1.81 states/eV per atom
Magnetization ... 0.0 Bohr magnetons per cell
Total energy ... -4.989 eV per atom
Energy above the lowest structure with this stoichiometry ... 0 meV per atom

Cell lengths 6.240, 9.082, 9.082 Å; angles 83.62, 73.50, 73.50 degrees
Atoms (fractional coordinates):
Pr (0.000, 0.268, 0.732)
Pr (0.500, 0.000, 0.000)
Pr (0.000, 0.732, 0.268)
La (0.661, 0.081, 0.587)
La (0.741, 0.419, 0.419)
La (0.084, 0.857, 0.857)
La (0.916, 0.143, 0.143)
La (0.661, 0.587, 0.081)
La (0.259, 0.581, 0.581)
La (0.339, 0.413, 0.919)
La (0.339, 0.919, 0.413)
Y (0.327, 0.305, 0.305)
Y (0.673, 0.695, 0.695)

A relaxed structure of La6Pr5Y2, computed with PBE.

Values from the calculation:
Fermi-level density of states ... 1.37 states/eV per atom
Magnetization ... 0.0 Bohr magnetons per cell
Total energy ... -5.022 eV per atom

Cell lengths 3.698, 11.961, 21.408 Å; angles 90.00, 90.00, 90.00 degrees
Atoms (fractional coordinates):
La (0.000, 0.918, 0.632)
La (0.000, 0.436, 0.580)
La (0.000, 0.564, 0.420)
La (0.500, 0.674, 0.862)
La (0.500, 0.174, 0.638)
La (0.500, 0.826, 0.362)
La (0.500, 0.326, 0.138)
La (0.000, 0.418, 0.868)
La (0.000, 0.582, 0.132)
La (0.000, 0.082, 0.368)
La (0.000, 0.064, 0.080)
La (0.000, 0.936, 0.920)
Pr (0.500, 0.804, 0.056)
Pr (0.500, 0.592, 0.273)
Pr (0.500, 0.908, 0.773)
Pr (0.500, 0.000, 0.500)
Pr (0.500, 0.500, 0.000)
Pr (0.500, 0.304, 0.444)
Pr (0.500, 0.696, 0.556)
Pr (0.500, 0.196, 0.944)
Pr (0.500, 0.408, 0.727)
Pr (0.500, 0.092, 0.227)
Y (0.000, 0.165, 0.790)
Y (0.000, 0.835, 0.210)
Y (0.000, 0.335, 0.290)
Y (0.000, 0.665, 0.710)

A relaxed structure of La3PrY4, computed with PBE.

Values from the calculation:
Fermi-level density of states ... 1.75 states/eV per atom
Magnetization ... 0.0 Bohr magnetons per cell
Total energy ... -5.548 eV per atom
Energy above the lowest structure with this stoichiometry ... 102 meV per atom

Cell lengths 3.495, 9.127, 9.127 Å; angles 81.51, 78.96, 78.96 degrees
Atoms (fractional coordinates):
Y (0.634, 0.616, 0.115)
Y (0.366, 0.384, 0.885)
Y (0.634, 0.115, 0.616)
Y (0.366, 0.885, 0.384)
La (0.000, 0.500, 0.500)
La (0.242, 0.758, 0.758)
La (0.758, 0.242, 0.242)
Pr (0.500, 0.000, 0.000)

A relaxed structure of La12Pr5Y2, computed with PBE.

Values from the calculation:
Fermi-level density of states ... 1.73 states/eV per atom
Magnetization ... 0.0 Bohr magnetons per cell
Total energy ... -4.902 eV per atom
Energy above the lowest structure with this stoichiometry ... 71 meV per atom

Cell lengths 7.622, 11.407, 10.323 Å; angles 57.64, 90.00, 109.52 degrees
Atoms (fractional coordinates):
La (0.908, 0.317, 0.532)
La (0.068, 0.665, 0.836)
La (0.510, 0.019, 0.316)
La (0.932, 0.335, 0.164)
La (0.592, 0.683, 0.468)
La (0.008, 0.016, 0.202)
La (0.092, 0.683, 0.468)
La (0.403, 0.335, 0.164)
La (0.408, 0.317, 0.532)
La (0.597, 0.665, 0.836)
La (0.992, 0.984, 0.798)
La (0.490, 0.981, 0.684)
Y (0.297, 0.000, 0.000)
Y (0.703, 0.000, 0.000)
Pr (0.323, 0.646, 0.156)
Pr (0.000, 0.000, 0.500)
Pr (0.825, 0.651, 0.185)
Pr (0.677, 0.354, 0.844)
Pr (0.175, 0.349, 0.815)